No. 1
Ba2PaTe6 | PBE-GGA | relaxed

a b c (Å): 4.5215 8.6120 9.3247
angles (deg): 117.50 90.00 90.00
Element x y z (fractional)
Pa  0.5000  0.0300  0.0000
Te  0.5000  0.6705  0.0000
Te  0.5000  0.9712  0.6256
Ba  0.0000  0.6572  0.3562
Te  0.0000  0.9849  0.2181
Ba  0.0000  0.3010  0.6438
Te  0.0000  0.2729  0.0000
Te  0.0000  0.7668  0.7819
Te  0.5000  0.3456  0.3744

## Properties
For the uncorrected energy, the calculation gives -4.605 eV/atom. The formation energy (no corrections) is -1.03 eV/atom.



No. 2
CdNi3N | PBE-GGA | relaxed

a b c (Å): 8.7389 8.7389 4.3271
angles (deg): 90.00 90.00 147.76
Last column: magnetic moment on the atom in μB.
Element x y z (fractional)
Ni  0.0410  0.4618  0.2500  0.04
N  0.6394  0.3606  0.7500  0.03
N  0.3606  0.6394  0.2500  0.03
Ni  0.0000  0.0000  0.5000  0.91
Ni  0.4618  0.0410  0.7500  0.03
Cd  0.1412  0.8588  0.2500  0.00
Ni  0.9590  0.5382  0.7500  0.04
Ni  0.0000  0.0000  0.0000  0.94
Ni  0.5382  0.9590  0.2500  0.03
Cd  0.8588  0.1412  0.7500  0.00

## Properties
For the uncorrected energy, the calculation gives -4.485 eV/atom. As for the relative energy among the computed polymorphs: 0.897 eV/atom. The formation energy (no corrections) is 0.83 eV/atom.



No. 3
SmSi2Pd3 | PBE-GGA | relaxed

a b c (Å): 4.0227 8.4403 9.9495
angles (deg): 108.09 90.00 103.79
Element x y z (fractional)
Si  0.3638  0.7276  0.5517
Pd  0.3739  0.7478  0.7995
Pd  0.2206  0.4412  0.3928
Pd  0.7794  0.5588  0.6072
Si  0.4648  0.9296  0.2224
Si  0.6362  0.2724  0.4483
Pd  0.5000  0.0000  0.5000
Pd  0.6783  0.3566  0.9611
Si  0.2000  0.4000  0.1313
Pd  0.3217  0.6434  0.0389
Sm  0.8465  0.6930  0.3066
Si  0.8000  0.6000  0.8687
Pd  0.6261  0.2522  0.2005
Pd  0.0421  0.0843  0.3320
Sm  0.0000  0.0000  0.0000
Si  0.5352  0.0704  0.7776
Sm  0.1535  0.3070  0.6934
Pd  0.9579  0.9157  0.6680

## Properties
For the uncorrected energy, the calculation gives -6.077 eV/atom. The formation energy (no corrections) is -0.89 eV/atom.



No. 4
Fe2CoW | PBE-GGA | relaxed

a b c (Å): 4.4650 4.4650 4.4650
angles (deg): 131.95 131.99 70.28
Last column: magnetic moment on the atom in μB.
Element x y z (fractional)
W  0.5000  0.5000  0.0000  -0.41
Fe  0.0000  0.0000  0.0000  1.76
Fe  0.7500  0.2500  0.5000  1.50
Co  0.2500  0.7500  0.5000  0.40

## Properties
For the uncorrected energy, the calculation gives -9.193 eV/atom. As for the relative energy among the computed polymorphs: 0.031 eV/atom. The formation energy is 1.2 kcal/mol of atoms.



No. 5
ScCrIn2 | PBE-GGA | relaxed

a b c (Å): 5.2659 5.2659 3.1931
angles (deg): 90.01 90.01 107.98
Last column: magnetic moment on the atom in μB.
Element x y z (fractional)
In  0.5000  0.5000  0.0000  -0.05
Cr  0.0000  0.5000  0.5000  3.55
In  0.0000  0.0000  0.0000  -0.05
Sc  0.5000  0.0000  0.5000  0.09

## Properties
For the uncorrected energy, the calculation gives -5.340 eV/atom. As for the relative energy among the computed polymorphs: 0.066 eV/atom. The formation energy is 0.4 kcal/mol of atoms.



No. 6
SiAs2Ru | PBE-GGA | relaxed

a b c (Å): 4.5574 4.5574 3.1598
angles (deg): 90.00 90.00 105.32
Element x y z (fractional)
Ru  0.5000  0.0000  0.5000
Si  0.0000  0.5000  0.5000
As  0.5000  0.5000  0.0000
As  0.0000  0.0000  0.0000

## Properties
For the uncorrected energy, the calculation gives -5.666 eV/atom. The formation energy (no corrections) is 0.33 eV/atom.



No. 7
PuBeRh | PBE-GGA | relaxed

a b c (Å): 3.2732 3.2732 8.3152
angles (deg): 101.35 101.35 90.00
Element x y z (fractional)
Pu  0.7168  0.7168  0.4335
Be  0.5000  0.0000  0.0000
Pu  0.2832  0.2832  0.5665
Be  0.0000  0.5000  0.0000
Rh  0.9047  0.9047  0.8095
Rh  0.0953  0.0953  0.1905

## Properties
For the uncorrected energy, the calculation gives -8.527 eV/atom. As for the relative energy among the computed polymorphs: 0.301 eV/atom. The formation energy is -1.3 kcal/mol of atoms.



No. 8
BaHg2P2S7 | PBE-GGA | relaxed

a b c (Å): 6.6116 6.6116 11.4543
angles (deg): 73.23 73.23 60.00
Element x y z (fractional)
Hg  0.7523  0.7523  0.7431
S  0.1218  0.7928  0.7092
S  0.7928  0.3762  0.7092
Ba  0.5000  0.5000  0.5000
S  0.8782  0.6238  0.2908
Hg  0.2477  0.2477  0.2569
S  0.2072  0.8782  0.2908
S  0.0000  0.0000  0.0000
P  0.0693  0.0693  0.7920
P  0.9307  0.9307  0.2080
S  0.3762  0.1218  0.7092
S  0.6238  0.2072  0.2908

## Properties
For the uncorrected energy, the calculation gives -3.875 eV/atom. The formation energy (no corrections) is -0.36 eV/atom.



uncorrected energy of number 2 (CdNi3N)?
-4.485 eV/atom



Which value of uncorrected energy does entry 7 give?
-8.527 eV/atom



What is the uncorrected energy in the third record?
-6.077 eV/atom



Which value of uncorrected energy does entry 4 give?
-9.193 eV/atom